[1]
Bi2TePd3 after structural relaxation. Source: Alexandria, functional PBE-GGA. Values from VASP.

Summary:
The calculation puts the total energy at -4.65 eV per atom.

```
&SYSTEM
  ibrav = 0, nat = 12, ntyp = 3
/
ATOMIC_SPECIES
Bi 208.98 Bi.upf
Te 127.60 Te.upf
Pd 106.42 Pd.upf
CELL_PARAMETERS angstrom
6.9642 0.1133 0.1951
-1.4087 7.0335 -0.6270
-1.4087 -4.0314 5.7975
ATOMIC_POSITIONS crystal
Bi 0.2500 0.9367 0.0633
Bi 0.2500 0.2152 0.7848
Bi 0.7500 0.0633 0.9367
Bi 0.7500 0.7848 0.2152
Te 0.2500 0.6009 0.3991
Te 0.7500 0.3991 0.6009
Pd 0.0509 0.2262 0.3953
Pd 0.5509 0.3953 0.2262
Pd 0.0000 0.5000 0.0000
Pd 0.9491 0.7738 0.6047
Pd 0.5000 0.0000 0.5000
Pd 0.4491 0.6047 0.7738
```

[2]
PmSmTcHg after structural relaxation. Source: Alexandria, functional PBE-GGA. Values from VASP.

Summary:
Its energy of formation is -0.071 eV per atom.

```
&SYSTEM
  ibrav = 0, nat = 4, ntyp = 4
/
ATOMIC_SPECIES
Tc 98.00 Tc.upf
Hg 200.59 Hg.upf
Sm 150.36 Sm.upf
Pm 145.00 Pm.upf
CELL_PARAMETERS angstrom
5.1510 0.0000 0.0000
2.5755 4.4609 0.0000
2.5755 1.4870 4.2058
ATOMIC_POSITIONS crystal
Tc 0.2500 0.2500 0.2500
Hg 0.7500 0.7500 0.7500
Sm 0.0000 0.0000 0.0000
Pm 0.5000 0.5000 0.5000
```

[3]
Dy2Ho2SiIr4 after structural relaxation. Source: Alexandria, functional PBE-GGA. Values from VASP.

Summary:
The calculation puts the total energy at -7.13 eV per atom.

```
&SYSTEM
  ibrav = 0, nat = 9, ntyp = 4
/
ATOMIC_SPECIES
Dy 162.50 Dy.upf
Ho 164.93 Ho.upf
Si 28.09 Si.upf
Ir 192.22 Ir.upf
CELL_PARAMETERS angstrom
-3.8577 -4.0063 3.0645
5.6482 -2.0571 -2.0466
2.7641 4.7354 3.2028
ATOMIC_POSITIONS crystal
Dy 0.0000 0.6906 0.6906
Dy 0.0000 0.3094 0.3094
Ho 0.5000 0.7500 0.2500
Ho 0.5000 0.2500 0.7500
Si 0.0000 0.0000 0.0000
Ir 0.0000 0.7453 0.2547
Ir 0.4906 0.7453 0.7453
Ir 0.0000 0.2547 0.7453
Ir 0.5094 0.2547 0.2547
```